Here is a relaxed structure of NaHg2PbF8 from the Alexandria database. Energies are from GGA-PBE.

Cell: 4.0284 5.6217 7.9443 Å, 90.00 90.00 90.00°
Positions (direct):
Na 0.0000 0.0000 0.0000
Hg 0.5000 0.5000 0.2314
Hg 0.5000 0.5000 0.7686
Pb 0.0000 0.0000 0.5000
F 0.0000 0.2490 0.2669
F 0.0000 0.2490 0.7331
F 0.0000 0.7510 0.2669
F 0.0000 0.7510 0.7331
F 0.5000 0.2349 0.5000
F 0.5000 0.2474 0.0000
F 0.5000 0.7526 0.0000
F 0.5000 0.7651 0.5000

## Properties
- Magnetic moment: 0.00 μB per formula unit
- Formation energy from raw total energies: -1859 meV/atom

Here is a relaxed structure of NaHgPd2F8 from the Alexandria database. Energies are from GGA-PBE.

Cell: 4.6809 5.1821 7.4737 Å, 84.70 87.27 85.65°
Positions (direct):
Na 0.0000 0.0000 0.0000
Hg 0.0000 0.0000 0.5000
Pd 0.4994 0.5003 0.7541
Pd 0.5006 0.4997 0.2459
F 0.1625 0.7607 0.7615
F 0.1654 0.7610 0.2574
F 0.3578 0.2975 0.9733
F 0.3629 0.2934 0.4716
F 0.6371 0.7066 0.5284
F 0.6422 0.7025 0.0267
F 0.8346 0.2390 0.7426
F 0.8375 0.2393 0.2385

## Properties
- Magnetic moment: 1.02 μB per formula unit
- Formation energy from raw total energies: -1539 meV/atom